No. 1
The following is a GGA-PBE calculation of crystalline Sc6Al16Ni7 at its relaxed geometry, from OQMD via LeMat-Bulk.

Summary:
* final energy: -5.33 eV per atom
* space group: Fm-3m

abc: 8.5537 8.5537 8.5537
angles: 120.00 90.00 120.00
Last column: nearest neighbours and their distance in Å.
Element x y z (fractional)
Al 0.3340 0.6681 0.0021  3 Ni 2.47, 3 Al 2.72
Al 0.3576 0.2384 0.1192  4 Ni 2.50-2.66, 3 Al 2.72
Al 0.8808 0.2384 0.1192  4 Ni 2.50-2.66, 3 Al 2.72
Al 0.8808 0.7616 0.1192  4 Ni 2.50-2.66, 3 Al 2.72
Al 0.6660 0.3319 0.3340  3 Ni 2.47, 3 Al 2.72
Al 0.0021 0.6681 0.3340  3 Ni 2.47, 3 Al 2.72
Al 0.6660 0.6681 0.3340  3 Ni 2.47, 3 Al 2.72
Al 0.1192 0.2384 0.3576  4 Ni 2.50-2.66, 3 Al 2.72
Al 0.8808 0.7616 0.6424  4 Ni 2.50-2.66, 3 Al 2.72
Al 0.3340 0.3319 0.6660  3 Ni 2.47, 3 Al 2.72
Al 0.9979 0.3319 0.6660  3 Ni 2.47, 3 Al 2.72
Al 0.3340 0.6681 0.6660  3 Ni 2.47, 3 Al 2.72
Al 0.1192 0.2384 0.8808  4 Ni 2.50-2.66, 3 Al 2.72
Al 0.1192 0.7616 0.8808  4 Ni 2.50-2.66, 3 Al 2.72
Al 0.6424 0.7616 0.8808  4 Ni 2.50-2.66, 3 Al 2.72
Al 0.6660 0.3319 0.9979  3 Ni 2.47, 3 Al 2.72
Ni 0.0000 0.0000 0.0000  8 Al 2.50
Ni 0.5000 0.0000 0.0000  8 Al 2.47-2.66
Ni 0.0000 0.5000 0.0000  8 Al 2.47-2.66
Ni 0.5000 0.5000 0.0000  8 Al 2.47-2.66
Ni 0.0000 0.0000 0.5000  8 Al 2.47-2.66
Ni 0.0000 0.5000 0.5000  8 Al 2.47-2.66
Ni 0.5000 0.5000 0.5000  8 Al 2.47-2.66
Sc 0.3044 0.0000 0.3044  8 Al 2.86-3.03, 4 Ni 3.09
Sc 0.6956 0.0000 0.3044  8 Al 2.86-3.03, 4 Ni 3.09
Sc 0.3044 0.6087 0.3044  8 Al 2.86-3.03, 4 Ni 3.09
Sc 0.3044 0.0000 0.6956  8 Al 2.86-3.03, 4 Ni 3.09
Sc 0.6956 0.0000 0.6956  8 Al 2.86-3.03, 4 Ni 3.09
Sc 0.6956 0.3913 0.6956  8 Al 2.86-3.03, 4 Ni 3.09

No. 2
The following is a GGA-PBE calculation of crystalline ScAl2Ni at its relaxed geometry, from OQMD via LeMat-Bulk.

Summary:
* final energy: -5.29 eV per atom
* space group: F-43m

abc: 4.4243 4.4243 4.4243
angles: 60.00 60.00 60.00
Last column: nearest neighbours and their distance in Å.
Element x y z (fractional)
Al 0.0000 0.0000 0.0000  4 Ni 2.71, 4 Al 2.71
Al 0.2500 0.2500 0.2500  4 Al 2.71, 4 Sc 2.71
Ni 0.7500 0.7500 0.7500  4 Al 2.71, 4 Sc 2.71
Sc 0.5000 0.5000 0.5000  4 Ni 2.71, 4 Al 2.71

No. 3
The following is a GGA-PBE calculation of crystalline Sc2AlNi3 at its relaxed geometry, from OQMD via LeMat-Bulk.

Summary:
* final energy: -6.13 eV per atom
* space group: P6_3/mmc

abc: 5.0687 5.0687 7.8165
angles: 90.00 90.00 120.00
Last column: nearest neighbours and their distance in Å.
Element x y z (fractional)
Al 0.0000 0.0000 0.0000  6 Ni 2.46
Al 0.0000 0.0000 0.5000  6 Ni 2.46
Ni 0.1709 0.3418 0.2500  2 Al 2.46, 4 Ni 2.47-2.60
Ni 0.1709 0.8291 0.2500  2 Al 2.46, 4 Ni 2.47-2.60
Ni 0.6582 0.8291 0.2500  2 Al 2.46, 4 Ni 2.47-2.60
Ni 0.3418 0.1709 0.7500  2 Al 2.46, 4 Ni 2.47-2.60
Ni 0.8291 0.1709 0.7500  2 Al 2.46, 4 Ni 2.47-2.60
Ni 0.8291 0.6582 0.7500  2 Al 2.46, 4 Ni 2.47-2.60
Sc 0.6667 0.3333 0.0602  9 Ni 2.81-2.94, 3 Al 2.96, 4 Sc 2.97-3.07
Sc 0.6667 0.3333 0.4398  9 Ni 2.81-2.94, 3 Al 2.96, 4 Sc 2.97-3.07
Sc 0.3333 0.6667 0.5602  9 Ni 2.81-2.94, 3 Al 2.96, 4 Sc 2.97-3.07
Sc 0.3333 0.6667 0.9398  9 Ni 2.81-2.94, 3 Al 2.96, 4 Sc 2.97-3.07

No. 4
The following is a GGA-PBE calculation of crystalline ScAl2Ni at its relaxed geometry, from OQMD via LeMat-Bulk.

Summary:
* final energy: -5.29 eV per atom
* space group: F-43m

abc: 4.4244 4.4244 4.4244
angles: 60.00 60.00 60.00
Last column: nearest neighbours and their distance in Å.
Element x y z (fractional)
Al 0.5000 0.5000 0.5000  4 Al 2.71, 4 Sc 2.71
Al 0.7500 0.7500 0.7500  4 Al 2.71, 4 Ni 2.71
Ni 0.0000 0.0000 0.0000  4 Al 2.71, 4 Sc 2.71
Sc 0.2500 0.2500 0.2500  4 Ni 2.71, 4 Al 2.71

No. 5
The following is a GGA-PBE calculation of crystalline Sc3Al3SiNi2 at its relaxed geometry, from OQMD via LeMat-Bulk.

Summary:
* final energy: -5.78 eV per atom
* relative energy among the computed polymorphs: 0.000 eV per atom
* space group: P-62m

abc: 6.9399 6.9399 3.5525
angles: 90.00 90.00 120.00
Last column: nearest neighbours and their distance in Å.
Element x y z (fractional)
Al 0.2692 0.0000 0.5000  2 Ni 2.57, 2 Si 2.58
Al 0.0000 0.2692 0.5000  2 Ni 2.57, 2 Si 2.58
Al 0.7308 0.7308 0.5000  2 Ni 2.57, 2 Si 2.58
Ni 0.6667 0.3333 0.5000  3 Al 2.57, 6 Sc 2.77
Ni 0.3333 0.6667 0.5000  3 Al 2.57, 6 Sc 2.77
Sc 0.6002 0.0000 0.0000  4 Ni 2.77, 1 Si 2.77, 6 Al 2.90-3.03
Sc 0.3998 0.3998 0.0000  4 Ni 2.77, 1 Si 2.77, 6 Al 2.90-3.03
Sc 0.0000 0.6002 0.0000  4 Ni 2.77, 1 Si 2.77, 6 Al 2.90-3.03
Si 0.0000 0.0000 0.0000  6 Al 2.58, 3 Sc 2.77

No. 6
The following is a GGA-PBE calculation of crystalline Sc3Al3SiNi2 at its relaxed geometry, from OQMD via LeMat-Bulk.

Summary:
* final energy: -5.54 eV per atom
* relative energy among the computed polymorphs: 0.233 eV per atom
* space group: P-62m

abc: 7.5751 7.5751 2.9338
angles: 90.00 90.00 120.00
Last column: nearest neighbours and their distance in Å.
Element x y z (fractional)
Al 0.6285 0.0000 0.5000  4 Ni 2.81, 1 Si 2.81, 6 Sc 2.90-2.97, 2 Al 2.93
Al 0.3715 0.3715 0.5000  4 Ni 2.81, 1 Si 2.81, 6 Sc 2.90-2.97, 2 Al 2.93
Al 0.0000 0.6285 0.5000  4 Ni 2.81, 1 Si 2.81, 6 Sc 2.90-2.97, 2 Al 2.93
Ni 0.6667 0.3333 0.0000  3 Sc 2.67, 6 Al 2.81, 2 Ni 2.93
Ni 0.3333 0.6667 0.0000  3 Sc 2.67, 6 Al 2.81, 2 Ni 2.93
Sc 0.2986 0.0000 0.0000  2 Ni 2.67, 2 Si 2.70, 6 Al 2.90-2.97, 2 Sc 2.93
Sc 0.0000 0.2986 0.0000  2 Ni 2.67, 2 Si 2.70, 6 Al 2.90-2.97, 2 Sc 2.93
Sc 0.7014 0.7014 0.0000  2 Ni 2.67, 2 Si 2.70, 6 Al 2.90-2.97, 2 Sc 2.93
Si 0.0000 0.0000 0.5000  6 Sc 2.70, 3 Al 2.81, 2 Si 2.93

No. 7
The following is a GGA-PBE calculation of crystalline SmScAlNi2 at its relaxed geometry, from OQMD via LeMat-Bulk.

Summary:
* final energy: -5.70 eV per atom
* space group: Imm2

abc: 5.2933 5.2933 5.2933
angles: 133.78 119.84 79.08
Last column: nearest neighbours and their distance in Å.
Element x y z (fractional)
Al 0.0007 0.0007 0.0000  4 Ni 2.51
Ni 0.7328 0.4997 0.2331  1 Ni 2.47, 2 Al 2.51
Ni 0.2667 0.4997 0.7669  1 Ni 2.47, 2 Al 2.51
Sc 0.2966 0.7966 0.5000  6 Ni 2.81-2.93, 2 Al 3.13
Sm 0.7031 0.2031 0.5000  6 Ni 2.81-2.93, 2 Al 3.13

No. 8
The following is a GGA-PBE calculation of crystalline ScTaAlNi at its relaxed geometry, from OQMD via LeMat-Bulk.

Summary:
* final energy: -6.80 eV per atom
* relative energy among the computed polymorphs: 0.000 eV per atom
* space group: F-43m

abc: 4.5453 4.5453 4.5453
angles: 60.00 60.00 60.00
Last column: nearest neighbours and their distance in Å.
Element x y z (fractional)
Al 0.0000 0.0000 0.0000  4 Ni 2.78, 4 Ta 2.78
Ni 0.7500 0.7500 0.7500  4 Sc 2.78, 4 Al 2.78
Sc 0.5000 0.5000 0.5000  4 Ni 2.78, 4 Ta 2.78
Ta 0.2500 0.2500 0.2500  4 Sc 2.78, 4 Al 2.78

No. 9
The following is a GGA-PBE calculation of crystalline TbScAl4Ni2 at its relaxed geometry, from OQMD via LeMat-Bulk.

Summary:
* final energy: -5.27 eV per atom
* space group: Amm2

abc: 6.8037 5.3243 5.3243
angles: 44.70 90.00 90.00
Last column: nearest neighbours and their distance in Å.
Element x y z (fractional)
Al 0.2965 0.1497 0.1497  3 Ni 2.44-2.54
Al 0.7035 0.1497 0.1497  3 Ni 2.44-2.54
Al 0.1929 0.8476 0.8476  3 Ni 2.46-2.48, 1 Al 2.62
Al 0.8071 0.8476 0.8476  3 Ni 2.46-2.48, 1 Al 2.62
Ni 0.0000 0.2895 0.2895  6 Al 2.44-2.48, 1 Sc 2.70
Ni 0.5000 0.7159 0.7159  6 Al 2.46-2.54, 1 Tb 2.75
Sc 0.0000 0.5635 0.5635  3 Ni 2.70-3.01, 4 Al 2.98
Tb 0.5000 0.4364 0.4364  3 Ni 2.75-2.97, 4 Al 3.04

No. 10
The following is a GGA-PBE calculation of crystalline TmScAl2Ni4 at its relaxed geometry, from OQMD via LeMat-Bulk.

Summary:
* final energy: -5.68 eV per atom
* space group: P-6m2

abc: 4.1169 4.1169 8.3480
angles: 90.00 90.00 120.00
Last column: nearest neighbours and their distance in Å.
Element x y z (fractional)
Al 0.3333 0.6667 0.2397  6 Ni 2.46
Al 0.3333 0.6667 0.7603  6 Ni 2.46
Ni 0.6667 0.3333 0.1650  3 Al 2.46, 3 Ni 2.69, 3 Sc 2.75
Ni 0.0000 0.0000 0.3149  3 Al 2.46, 1 Sc 2.63, 3 Ni 2.69
Ni 0.0000 0.0000 0.6851  3 Al 2.46, 1 Sc 2.63, 3 Ni 2.69
Ni 0.6667 0.3333 0.8350  3 Al 2.46, 3 Ni 2.69, 3 Sc 2.75
Sc 0.0000 0.0000 0.0000  8 Ni 2.63-2.75
Tm 0.6667 0.3333 0.5000  8 Ni 2.80-2.84

No. 11
The following is a GGA-PBE calculation of crystalline TmScAlNi2 at its relaxed geometry, from OQMD via LeMat-Bulk.

Summary:
* final energy: -5.72 eV per atom
* space group: Imm2

abc: 5.1871 5.1871 5.1871
angles: 133.38 119.11 80.02
Last column: nearest neighbours and their distance in Å.
Element x y z (fractional)
Al 0.0006 0.0006 0.0000  4 Ni 2.49
Ni 0.7320 0.5000 0.2320  1 Ni 2.44, 2 Al 2.49
Ni 0.2680 0.5000 0.7680  1 Ni 2.44, 2 Al 2.49
Sc 0.2970 0.7970 0.5000  6 Ni 2.75-2.88
Tm 0.7024 0.2024 0.5000  6 Ni 2.75-2.88, 2 Al 3.08

No. 12
The following is a GGA-PBE calculation of crystalline ScAlNiW at its relaxed geometry, from OQMD via LeMat-Bulk.

Summary:
* final energy: -6.87 eV per atom
* space group: F-43m

abc: 4.4811 4.4811 4.4811
angles: 60.00 60.00 60.00
Last column: nearest neighbours and their distance in Å.
Element x y z (fractional)
Al 0.0000 0.0000 0.0000  4 Ni 2.74, 4 Sc 2.74
Ni 0.7500 0.7500 0.7500  4 W 2.74, 4 Al 2.74
Sc 0.2500 0.2500 0.2500  4 W 2.74, 4 Al 2.74
W 0.5000 0.5000 0.5000  4 Ni 2.74, 4 Sc 2.74